Compound: Rb2Ca2SbO6
Source: Alexandria
Functional: PBE-GGA
Structure: optimized geometry

abc: 5.9144 5.9144 6.9242
angles: 98.90 98.90 119.24
Last column: nearest neighbours and their distance in Å.
Fractional positions:
Rb: 0.1703 0.8297 0.0000  6 O 2.88-3.08
Rb: 0.8297 0.1703 0.0000  6 O 2.88-3.08
Ca: 0.3381 0.6619 0.5000  6 O 2.36-2.42
Ca: 0.6619 0.3381 0.5000  6 O 2.36-2.42
Sb: 0.0000 0.0000 0.5000  6 O 2.03-2.04
O: 0.0518 0.3464 0.6667  1 Sb 2.04
O: 0.2263 0.2263 0.3333  1 Sb 2.03
O: 0.3464 0.0518 0.6667  1 Sb 2.04
O: 0.6536 0.9482 0.3333  1 Sb 2.04
O: 0.7737 0.7737 0.6667  1 Sb 2.03
O: 0.9482 0.6536 0.3333  1 Sb 2.04

Results
The value obtained for the volume is 201 Å³ per cell. The total magnetization comes out at 1.08 μB per formula unit. The total DFT energy (no corrections) is -61.24 eV per cell.

Compound: RbCa3Se4O12
Source: Alexandria
Functional: PBE-GGA
Structure: optimized geometry

abc: 7.5549 7.5549 7.5549
angles: 105.72 105.72 105.72
Last column: nearest neighbours and their distance in Å.
Fractional positions:
Rb: 0.0000 0.0000 0.0000  6 O 3.03
Ca: 0.0000 0.5538 0.4462  6 O 2.36-2.42
Ca: 0.4462 0.0000 0.5538  6 O 2.36-2.42
Ca: 0.5538 0.4462 0.0000  6 O 2.36-2.42
Se: 0.0497 0.5000 0.9503  3 O 1.75-1.86
Se: 0.5000 0.5000 0.5000  3 O 1.82
Se: 0.5000 0.9503 0.0497  3 O 1.75-1.86
Se: 0.9503 0.0497 0.5000  3 O 1.75-1.86
O: 0.0392 0.6204 0.7815  1 Se 1.75
O: 0.1050 0.8950 0.5000  1 Se 1.86
O: 0.2185 0.3796 0.9608  1 Se 1.75
O: 0.3488 0.6512 0.5000  1 Se 1.82
O: 0.3796 0.9608 0.2185  1 Se 1.75
O: 0.5000 0.1050 0.8950  1 Se 1.86
O: 0.5000 0.3488 0.6512  1 Se 1.82
O: 0.6204 0.7815 0.0392  1 Se 1.75
O: 0.6512 0.5000 0.3488  1 Se 1.82
O: 0.7815 0.0392 0.6204  1 Se 1.75
O: 0.8950 0.5000 0.1050  1 Se 1.86
O: 0.9608 0.2185 0.3796  1 Se 1.75

Results
The value obtained for the volume is 371 Å³ per cell. The total magnetization comes out at 2.46 μB per formula unit. The total DFT energy (no corrections) is -105.47 eV per cell.

Compound: RbCaSe2O8
Source: Alexandria
Functional: PBE-GGA
Structure: optimized geometry

abc: 5.6475 5.6475 8.4540
angles: 90.00 90.00 120.00
Last column: nearest neighbours and their distance in Å.
Fractional positions:
Rb: 0.0000 0.0000 0.0000  12 O 3.27-3.31
Ca: 0.0000 0.0000 0.5000  6 O 2.34
Se: 0.3333 0.6667 0.7375  4 O 1.67-1.68
Se: 0.6667 0.3333 0.2625  4 O 1.67-1.68
O: 0.0970 0.3561 0.6765  1 Se 1.67
O: 0.2591 0.9030 0.6765  1 Se 1.67
O: 0.3333 0.6667 0.9360  1 Se 1.68
O: 0.3561 0.2591 0.3235  1 Se 1.67
O: 0.6439 0.7409 0.6765  1 Se 1.67
O: 0.6667 0.3333 0.0640  1 Se 1.68
O: 0.7409 0.0970 0.3235  1 Se 1.67
O: 0.9030 0.6439 0.3235  1 Se 1.67

Results
The value obtained for the volume is 234 Å³ per cell. The total magnetization comes out at 1.16 μB per formula unit. The total DFT energy (no corrections) is -64.46 eV per cell.

Compound: Rb4CaSe4O14
Source: Alexandria
Functional: PBE-GGA
Structure: optimized geometry

abc: 8.9322 8.9322 8.3146
angles: 106.14 106.14 53.74
Last column: nearest neighbours and their distance in Å.
Fractional positions:
Rb: 0.1335 0.1335 0.3931  6 O 2.91-3.25
Rb: 0.5147 0.1660 0.1715  5 O 2.84-3.06
Rb: 0.8340 0.4853 0.8285  5 O 2.84-3.06
Rb: 0.8665 0.8665 0.6069  6 O 2.91-3.25
Ca: 0.4038 0.5962 0.0000  7 O 2.40-2.54
Se: 0.1911 0.0062 0.9060  3 O 1.67-1.70
Se: 0.4452 0.3886 0.6278  3 O 1.69-1.71
Se: 0.6114 0.5548 0.3722  3 O 1.69-1.71
Se: 0.9938 0.8089 0.0940  3 O 1.67-1.70
O: 0.0851 0.0636 0.7119  1 Se 1.67
O: 0.0944 0.9056 0.0000  2 Se 1.96
O: 0.1716 0.1928 0.0416  1 Se 1.67
O: 0.1797 0.5823 0.0909  1 Se 1.70
O: 0.2399 0.5486 0.7066  1 Se 1.70
O: 0.4177 0.8203 0.9091  1 Se 1.70
O: 0.4514 0.7601 0.2934  1 Se 1.70
O: 0.4548 0.1947 0.5165  1 Se 1.69
O: 0.5162 0.4838 0.5000  2 Se 1.94
O: 0.6058 0.3356 0.8075  1 Se 1.71
O: 0.6644 0.3942 0.1925  1 Se 1.71
O: 0.8053 0.5452 0.4835  1 Se 1.69
O: 0.8072 0.8284 0.9584  1 Se 1.67
O: 0.9364 0.9149 0.2881  1 Se 1.67

Results
The value obtained for the volume is 508 Å³ per cell. The total magnetization comes out at 1.81 μB per formula unit. The total DFT energy (no corrections) is -117.66 eV per cell.

Compound: RbCa2Se2O6
Source: Alexandria
Functional: PBE-GGA
Structure: optimized geometry

abc: 6.1669 6.4720 6.7466
angles: 115.01 116.82 91.76
Last column: nearest neighbours and their distance in Å.
Fractional positions:
Rb: 0.0000 0.0000 0.0000  4 O 2.95-2.99
Ca: 0.3194 0.6733 0.6595  5 O 2.30-2.45
Ca: 0.6806 0.3267 0.3405  5 O 2.30-2.45
Se: 0.3601 0.1602 0.6103  3 O 1.75-1.91
Se: 0.6399 0.8398 0.3897  3 O 1.75-1.91
O: 0.0892 0.3007 0.5165  1 Se 1.91
O: 0.4263 0.6079 0.3334  1 Se 1.75
O: 0.4830 0.8642 0.1067  1 Se 1.79
O: 0.5170 0.1358 0.8933  1 Se 1.79
O: 0.5737 0.3921 0.6666  1 Se 1.75
O: 0.9108 0.6993 0.4835  1 Se 1.91

Results
The value obtained for the volume is 209 Å³ per cell. The total magnetization comes out at 0.91 μB per formula unit. The total DFT energy (no corrections) is -59.33 eV per cell.

Compound: Rb2CaSi2O6
Source: Alexandria
Functional: PBE-GGA
Structure: optimized geometry

abc: 5.9793 5.9793 7.1115
angles: 113.86 113.86 60.12
Last column: nearest neighbours and their distance in Å.
Fractional positions:
Rb: 0.2055 0.2055 0.1187  9 O 3.06-3.16
Rb: 0.7945 0.7945 0.8813  9 O 3.06-3.16
Ca: 0.0000 0.0000 0.5000  6 O 2.36-2.37
Si: 0.4106 0.4106 0.7275  3 O 1.59
Si: 0.5894 0.5894 0.2725  3 O 1.59
O: 0.2557 0.2557 0.7222  1 Si 1.59
O: 0.2609 0.7191 0.7354  1 Si 1.59
O: 0.2809 0.7391 0.2646  1 Si 1.59
O: 0.7191 0.2609 0.7354  1 Si 1.59
O: 0.7391 0.2809 0.2646  1 Si 1.59
O: 0.7443 0.7443 0.2778  1 Si 1.59

Results
The value obtained for the volume is 195 Å³ per cell. The total magnetization comes out at 0.00 μB per formula unit. The total DFT energy (no corrections) is -71.08 eV per cell.

Compound: Rb2CaSiO4
Source: Alexandria
Functional: PBE-GGA
Structure: optimized geometry

abc: 12.9872 11.8693 6.5528
angles: 84.41 65.45 30.14
Last column: nearest neighbours and their distance in Å.
Fractional positions:
Rb: 0.0589 0.0589 0.6911  4 O 3.15-3.16
Rb: 0.3089 0.3089 0.9411  4 O 3.15-3.16
Rb: 0.6911 0.6911 0.0589  4 O 3.15-3.16
Rb: 0.9411 0.9411 0.3089  4 O 3.15-3.16
Ca: 0.1250 0.1250 0.1250  4 O 2.20
Ca: 0.8750 0.8750 0.8750  4 O 2.20
Si: 0.3750 0.3750 0.3750  4 O 1.67
Si: 0.6250 0.6250 0.6250  4 O 1.67
O: 0.0709 0.6015 0.5129  1 Si 1.67
O: 0.3147 0.5129 0.6015  1 Si 1.67
O: 0.3985 0.9291 0.6853  1 Si 1.67
O: 0.4871 0.6853 0.9291  1 Si 1.67
O: 0.5129 0.3147 0.0709  1 Si 1.67
O: 0.6015 0.0709 0.3147  1 Si 1.67
O: 0.6853 0.4871 0.3985  1 Si 1.67
O: 0.9291 0.3985 0.4871  1 Si 1.67

Results
The value obtained for the volume is 378 Å³ per cell. The total magnetization comes out at 0.00 μB per formula unit. The total DFT energy (no corrections) is -93.76 eV per cell.

Compound: Rb3CaSi2O6
Source: Alexandria
Functional: PBE-GGA
Structure: optimized geometry

abc: 6.0446 6.0446 7.6222
angles: 90.00 90.00 120.00
Last column: nearest neighbours and their distance in Å.
Fractional positions:
Rb: 0.0000 0.0000 0.0000  6 O 3.02
Rb: 0.3333 0.6667 0.7244  6 O 3.04, 1 Si 3.37
Rb: 0.6667 0.3333 0.2756  6 O 3.04, 1 Si 3.37
Ca: 0.0000 0.0000 0.5000  6 O 2.40
Si: 0.3333 0.6667 0.2820  3 O 1.60
Si: 0.6667 0.3333 0.7180  3 O 1.60
O: 0.1812 0.3625 0.3080  1 Si 1.60
O: 0.1812 0.8188 0.3080  1 Si 1.60
O: 0.3625 0.1812 0.6920  1 Si 1.60
O: 0.6375 0.8188 0.3080  1 Si 1.60
O: 0.8188 0.1812 0.6920  1 Si 1.60
O: 0.8188 0.6375 0.6920  1 Si 1.60

Results
The value obtained for the volume is 241 Å³ per cell. The total magnetization comes out at 0.74 μB per formula unit. The total DFT energy (no corrections) is -72.07 eV per cell.

Compound: RbCaSnO3
Source: Alexandria
Functional: PBE-GGA
Structure: optimized geometry

abc: 6.1967 3.9757 9.5135
angles: 90.00 90.20 90.00
Last column: nearest neighbours and their distance in Å.
Fractional positions:
Rb: 0.2462 0.2500 0.1798  6 O 3.11-3.19
Rb: 0.7538 0.7500 0.8202  6 O 3.11-3.19
Ca: 0.2482 0.7500 0.5237  2 O 2.25-2.26
Ca: 0.7518 0.2500 0.4763  2 O 2.25-2.26
Sn: 0.2548 0.2500 0.7907  4 O 2.05-2.11
Sn: 0.7452 0.7500 0.2093  4 O 2.05-2.11
O: 0.0310 0.2500 0.6305  1 Sn 2.06, 1 Ca 2.26
O: 0.2515 0.7500 0.8636  2 Sn 2.11
O: 0.4834 0.2500 0.6354  1 Sn 2.05, 1 Ca 2.25
O: 0.5166 0.7500 0.3646  1 Sn 2.05, 1 Ca 2.25
O: 0.7485 0.2500 0.1364  2 Sn 2.11
O: 0.9690 0.7500 0.3695  1 Sn 2.06, 1 Ca 2.26

Results
The value obtained for the volume is 234 Å³ per cell. The total magnetization comes out at 0.00 μB per formula unit. The total DFT energy (no corrections) is -66.08 eV per cell.

Compound: Rb2SrCaO
Source: Alexandria
Functional: PBE-GGA
Structure: optimized geometry

abc: 7.4554 7.4554 4.3807
angles: 90.00 90.00 90.00
Last column: nearest neighbours and their distance in Å.
Fractional positions:
Rb: 0.0000 0.5000 0.0000  2 O 3.73
Rb: 0.5000 0.0000 0.0000  2 O 3.73
Sr: 0.0000 0.0000 0.5000  8 Rb 4.32, 2 Sr 4.38
Ca: 0.5000 0.5000 0.5000  2 O 2.19
O: 0.5000 0.5000 0.0000  2 Ca 2.19

Results
The value obtained for the volume is 243 Å³ per cell. The total magnetization comes out at 0.00 μB per formula unit. The total DFT energy (no corrections) is -13.60 eV per cell.

Compound: Rb3CaTa2O8
Source: Alexandria
Functional: PBE-GGA
Structure: optimized geometry

abc: 6.3108 6.3108 8.1101
angles: 90.00 90.00 120.00
Last column: nearest neighbours and their distance in Å.
Fractional positions:
Rb: 0.0000 0.0000 0.0000  6 O 3.23
Rb: 0.3333 0.6667 0.6753  1 O 2.71
Rb: 0.6667 0.3333 0.3247  1 O 2.71
Ca: 0.0000 0.0000 0.5000  6 O 2.38
Ta: 0.3333 0.6667 0.2399  4 O 1.86-1.87
Ta: 0.6667 0.3333 0.7601  4 O 1.86-1.87
O: 0.1732 0.3463 0.3220  1 Ta 1.87
O: 0.1732 0.8268 0.3220  1 Ta 1.87
O: 0.3333 0.6667 0.0100  1 Ta 1.86
O: 0.3463 0.1732 0.6780  1 Ta 1.87
O: 0.6537 0.8268 0.3220  1 Ta 1.87
O: 0.6667 0.3333 0.9900  1 Ta 1.86
O: 0.8268 0.1732 0.6780  1 Ta 1.87
O: 0.8268 0.6537 0.6780  1 Ta 1.87

Results
The value obtained for the volume is 280 Å³ per cell. The total magnetization comes out at 1.12 μB per formula unit. The total DFT energy (no corrections) is -101.94 eV per cell.

Compound: RbCa2Ta3O10
Source: Alexandria
Functional: PBE-GGA
Structure: optimized geometry

abc: 3.9409 3.9409 15.3219
angles: 90.00 90.00 90.00
Last column: nearest neighbours and their distance in Å.
Fractional positions:
Rb: 0.0000 0.0000 0.0000  8 O 3.20
Ca: 0.0000 0.0000 0.3501  8 O 2.52-2.81
Ca: 0.0000 0.0000 0.6499  8 O 2.52-2.81
Ta: 0.5000 0.5000 0.2204  1 O 1.80
Ta: 0.5000 0.5000 0.5000  6 O 1.97
Ta: 0.5000 0.5000 0.7796  1 O 1.80
O: 0.0000 0.5000 0.2478  2 Ta 2.01
O: 0.0000 0.5000 0.5000  2 Ta 1.97
O: 0.0000 0.5000 0.7522  2 Ta 2.01
O: 0.5000 0.0000 0.2478  2 Ta 2.01
O: 0.5000 0.0000 0.5000  2 Ta 1.97
O: 0.5000 0.0000 0.7522  2 Ta 2.01
O: 0.5000 0.5000 0.1030  1 Ta 1.80
O: 0.5000 0.5000 0.3714  1 Ta 1.97
O: 0.5000 0.5000 0.6286  1 Ta 1.97
O: 0.5000 0.5000 0.8970  1 Ta 1.80

Results
The value obtained for the volume is 238 Å³ per cell. The total magnetization comes out at 0.00 μB per formula unit. The total DFT energy (no corrections) is -136.25 eV per cell.